# NaPaHgBr6

A relaxed NaPaHgBr6 crystal (GGA-PBE, Alexandria via LeMat-Bulk).

Summary:
Formation energy from raw total energies in eV per atom: -1.304

The structure in CIF format:
```
data_NaPaHgBr6
_chemical_formula_sum 'Na2 Pa2 Hg2 Br12'
_symmetry_space_group_name_H-M 'P -3 1 c'
_symmetry_Int_Tables_number 163
_symmetry_space_group_name_Hall '-P 3 2c'
_cell_length_a 7.4354
_cell_length_b 7.4354
_cell_length_c 18.2777
_cell_angle_alpha 90.00
_cell_angle_beta 90.00
_cell_angle_gamma 120.00
loop_
_atom_site_label
_atom_site_fract_x
_atom_site_fract_y
_atom_site_fract_z
Na1 0.3333 0.6667 0.2500
Pa1 0.3333 0.6667 0.7500
Hg1 0.0000 0.0000 0.0000
Br1 0.0307 0.3719 0.6634
```

# LaMg3Os

A relaxed LaMg3Os crystal (GGA-PBE, Alexandria via LeMat-Bulk).

Summary:
D(E_F) in states/eV per cell: 5.0
E_form in kJ/mol of formula units: 101

The structure in CIF format:
```
data_LaMg3Os
_chemical_formula_sum 'La1 Mg3 Os1'
_symmetry_space_group_name_H-M 'P m -3 m'
_symmetry_Int_Tables_number 221
_symmetry_space_group_name_Hall '-P 4 2 3'
_cell_length_a 5.0355
_cell_length_b 5.0355
_cell_length_c 5.0355
_cell_angle_alpha 90.00
_cell_angle_beta 90.00
_cell_angle_gamma 90.00
loop_
_atom_site_label
_atom_site_fract_x
_atom_site_fract_y
_atom_site_fract_z
La1 0.0000 0.0000 0.0000
Mg1 0.0000 0.5000 0.5000
Os1 0.5000 0.5000 0.5000
```

# TbY2Al3

A relaxed TbY2Al3 crystal (GGA-PBE, Alexandria via LeMat-Bulk).

Summary:
D(E_F) in states/eV per cell: 2.2
E_form in kJ/mol of formula units: -239

The structure in CIF format:
```
data_TbY2Al3
_chemical_formula_sum 'Tb1 Y2 Al3'
_symmetry_space_group_name_H-M 'P 4/m m m'
_symmetry_Int_Tables_number 123
_symmetry_space_group_name_Hall '-P 4 2'
_cell_length_a 3.5970
_cell_length_b 3.5970
_cell_length_c 10.8909
_cell_angle_alpha 90.00
_cell_angle_beta 90.00
_cell_angle_gamma 90.00
loop_
_atom_site_label
_atom_site_fract_x
_atom_site_fract_y
_atom_site_fract_z
Tb1 0.0000 0.0000 0.0000
Y1 0.0000 0.0000 0.3337
Al1 0.5000 0.5000 0.1677
Al2 0.5000 0.5000 0.5000
```

# CaY3Ir

A relaxed CaY3Ir crystal (GGA-PBE, Alexandria via LeMat-Bulk).

Summary:
D(E_F) in states/eV per cell: 14.7
E_form in kJ/mol of formula units: 368

The structure in CIF format:
```
data_CaY3Ir
_chemical_formula_sum 'Ca2 Y6 Ir2'
_symmetry_space_group_name_H-M 'P 63/m m c'
_symmetry_Int_Tables_number 194
_symmetry_space_group_name_Hall '-P 6c 2c'
_cell_length_a 4.6319
_cell_length_b 4.6319
_cell_length_c 17.6722
_cell_angle_alpha 90.00
_cell_angle_beta 90.00
_cell_angle_gamma 120.00
loop_
_atom_site_label
_atom_site_fract_x
_atom_site_fract_y
_atom_site_fract_z
Ca1 0.3333 0.6667 0.2500
Y1 0.0000 0.0000 0.2500
Y2 0.3333 0.6667 0.0652
Ir1 0.0000 0.0000 0.0000
```

# SrTa3

A relaxed SrTa3 crystal (GGA-PBE, Alexandria via LeMat-Bulk).

Summary:
D(E_F) in states/eV per cell: 5.6
E_form in kJ/mol of formula units: 306

The structure in CIF format:
```
data_SrTa3
_chemical_formula_sum 'Sr1 Ta3'
_symmetry_space_group_name_H-M 'P -6 m 2'
_symmetry_Int_Tables_number 187
_symmetry_space_group_name_Hall 'P -6 2'
_cell_length_a 3.0115
_cell_length_b 3.0115
_cell_length_c 10.9904
_cell_angle_alpha 90.00
_cell_angle_beta 90.00
_cell_angle_gamma 120.00
loop_
_atom_site_label
_atom_site_fract_x
_atom_site_fract_y
_atom_site_fract_z
Sr1 0.0000 0.0000 0.0000
Ta1 0.0000 0.0000 0.5000
Ta2 0.6667 0.3333 0.2738
```

# Sr2Ta

A relaxed Sr2Ta crystal (GGA-PBE, Alexandria via LeMat-Bulk).

Summary:
D(E_F) in states/eV per cell: 7.9
E_form in kJ/mol of formula units: 356

The structure in CIF format:
```
data_Sr2Ta
_chemical_formula_sum 'Sr4 Ta2'
_symmetry_space_group_name_H-M 'P n n m'
_symmetry_Int_Tables_number 58
_cell_length_a 8.2300
_cell_length_b 8.3967
_cell_length_c 3.2957
_cell_angle_alpha 90.00
_cell_angle_beta 90.00
_cell_angle_gamma 90.00
loop_
_symmetry_equiv_pos_as_xyz
'x,y,z'
'-x,-y,-z'
'-x,-y,z'
'x,y,-z'
'x+1/2,-y+1/2,-z+1/2'
'-x+1/2,y+1/2,z+1/2'
'-x+1/2,y+1/2,-z+1/2'
'x+1/2,-y+1/2,z+1/2'
loop_
_atom_site_label
_atom_site_fract_x
_atom_site_fract_y
_atom_site_fract_z
Sr1 0.1778 0.2029 0.0000
Ta1 0.0000 0.5000 0.5000
```

# PuAuS3

A relaxed PuAuS3 crystal (GGA-PBE, Alexandria via LeMat-Bulk).

Summary:
D(E_F) in states/eV per cell: 9.5
Formation energy from raw total energies in eV per atom: -0.464

The structure in CIF format:
```
data_PuAuS3
_chemical_formula_sum 'Pu3 Au3 S9'
_symmetry_space_group_name_H-M 'R 3 m'
_symmetry_Int_Tables_number 160
_symmetry_space_group_name_Hall 'R 3 -2"'
_cell_length_a 7.1400
_cell_length_b 7.1400
_cell_length_c 9.8761
_cell_angle_alpha 90.00
_cell_angle_beta 90.00
_cell_angle_gamma 120.00
loop_
_atom_site_label
_atom_site_fract_x
_atom_site_fract_y
_atom_site_fract_z
Pu1 0.0000 0.0000 0.0000
Au1 0.0000 0.0000 0.3073
S1 0.0072 0.5036 0.5018
```

# Y2TlPb

A relaxed Y2TlPb crystal (GGA-PBE, Alexandria via LeMat-Bulk).

Summary:
D(E_F) in states/eV per cell: 2.7
E_form in kJ/mol of formula units: -163

The structure in CIF format:
```
data_Y2TlPb
_chemical_formula_sum 'Y2 Tl1 Pb1'
_symmetry_space_group_name_H-M 'P 1 2/m 1'
_symmetry_Int_Tables_number 10
_cell_length_a 3.5878
_cell_length_b 4.2981
_cell_length_c 7.2416
_cell_angle_alpha 90.00
_cell_angle_beta 90.10
_cell_angle_gamma 90.00
loop_
_symmetry_equiv_pos_as_xyz
'x,y,z'
'-x,-y,-z'
'-x,y,-z'
'x,-y,z'
loop_
_atom_site_label
_atom_site_fract_x
_atom_site_fract_y
_atom_site_fract_z
Y1 0.9997 0.0000 0.2494
Tl1 0.5000 0.5000 0.0000
Pb1 0.5000 0.5000 0.5000
```

# CdNi3N

A relaxed CdNi3N crystal (GGA-PBE, Alexandria via LeMat-Bulk).

Summary:
D(E_F) in states/eV per cell: 8.6
Formation energy from raw total energies in eV per atom: 0.245

The structure in CIF format:
```
data_CdNi3N
_chemical_formula_sum 'Cd2 Ni6 N2'
_symmetry_space_group_name_H-M 'P 63/m m c'
_symmetry_Int_Tables_number 194
_symmetry_space_group_name_Hall '-P 6c 2c'
_cell_length_a 3.1564
_cell_length_b 3.1564
_cell_length_c 15.3659
_cell_angle_alpha 90.00
_cell_angle_beta 90.00
_cell_angle_gamma 120.00
loop_
_atom_site_label
_atom_site_fract_x
_atom_site_fract_y
_atom_site_fract_z
Cd1 0.0000 0.0000 0.0000
Ni1 0.0000 0.0000 0.2500
Ni2 0.3333 0.6667 0.1308
N1 0.3333 0.6667 0.2500
```

# ZnIr2Rh

A relaxed ZnIr2Rh crystal (GGA-PBE, Alexandria via LeMat-Bulk).

Summary:
D(E_F) in states/eV per cell: 7.5
E_form in kJ/mol of formula units: 34

The structure in CIF format:
```
data_ZnIr2Rh
_chemical_formula_sum 'Zn2 Ir4 Rh2'
_symmetry_space_group_name_H-M 'C m m 2'
_symmetry_Int_Tables_number 35
_cell_length_a 2.7238
_cell_length_b 4.7412
_cell_length_c 9.0518
_cell_angle_alpha 90.00
_cell_angle_beta 90.00
_cell_angle_gamma 90.00
loop_
_symmetry_equiv_pos_as_xyz
'x,y,z'
'-x,-y,z'
'-x,y,z'
'x,-y,z'
'x+1/2,y+1/2,z'
'-x+1/2,-y+1/2,z'
'-x+1/2,y+1/2,z'
'x+1/2,-y+1/2,z'
loop_
_atom_site_label
_atom_site_fract_x
_atom_site_fract_y
_atom_site_fract_z
Zn1 0.0000 0.0000 0.0000
Ir1 0.0000 0.0000 0.4977
Ir2 0.0000 0.5000 0.7525
Rh1 0.0000 0.5000 0.2423
```

# NaAc2Sm3Te6

A relaxed NaAc2Sm3Te6 crystal (GGA-PBE, Alexandria via LeMat-Bulk).

Summary:
D(E_F) in states/eV per cell: 9.1
Formation energy from raw total energies in eV per atom: -1.409

The structure in CIF format:
```
data_NaAc2Sm3Te6
_chemical_formula_sum 'Na2 Ac4 Sm6 Te12'
_symmetry_space_group_name_H-M 'C 1 2/m 1'
_symmetry_Int_Tables_number 12
_cell_length_a 20.0119
_cell_length_b 4.5324
_cell_length_c 9.2158
_cell_angle_alpha 90.00
_cell_angle_beta 104.52
_cell_angle_gamma 90.00
loop_
_symmetry_equiv_pos_as_xyz
'x,y,z'
'-x,-y,-z'
'-x,y,-z'
'x,-y,z'
'x+1/2,y+1/2,z'
'-x+1/2,-y+1/2,-z'
'-x+1/2,y+1/2,-z'
'x+1/2,-y+1/2,z'
loop_
_atom_site_label
_atom_site_fract_x
_atom_site_fract_y
_atom_site_fract_z
Na1 0.0000 0.0000 0.0000
Ac1 0.1668 0.5000 0.3333
Sm1 0.0000 0.0000 0.5000
Sm2 0.1674 0.5000 0.8259
Te1 0.0043 0.5000 0.7481
Te2 0.1616 0.0000 0.5906
Te3 0.1666 0.0000 0.0670
```

Final energy values (in eV for the cell shown) by entry order: -65.8 -19.9 -31.3 -52.9 -34.1 -23.0 -96.9 -20.7 -50.7 -52.0 -118.9.